# 1
A plane-wave DFT calculation with PBE was carried out for an optimized crystal structure of Os2Cl6F.

Lattice parameters (Å, degrees): 8.2048 8.2048 9.8478 69.64 69.64 109.47
Closest atoms and distances in Å follow each position.
Element x y z (fractional)
F1 0.8815 0.1185 0.2500  2 Os 2.14
F2 0.1185 0.8815 0.7500  2 Os 2.14
Cl1 0.3513 0.0266 0.9045  1 Os 2.24
Cl2 0.4558 0.7948 0.5045  2 Os 2.36-2.47
Cl3 0.6487 0.9734 0.0955  1 Os 2.24
Cl4 0.8834 0.6628 0.2302  1 Os 2.26
Cl5 0.5442 0.2052 0.4955  2 Os 2.36-2.47
Cl6 0.9734 0.6487 0.5955  1 Os 2.24
Cl7 0.3372 0.1166 0.2698  1 Os 2.26
Cl8 0.1166 0.3372 0.7698  1 Os 2.26
Cl9 0.0266 0.3513 0.4045  1 Os 2.24
Cl10 0.7948 0.4558 0.0045  2 Os 2.36-2.47
Cl11 0.6628 0.8834 0.7302  1 Os 2.26
Cl12 0.2052 0.5442 0.9955  2 Os 2.36-2.47
Os1 0.1126 0.6160 0.7558  1 F 2.14, 3 Cl 2.24-2.36
Os2 0.3840 0.8874 0.7442  1 F 2.14, 3 Cl 2.24-2.36
Os3 0.8874 0.3840 0.2442  1 F 2.14, 3 Cl 2.24-2.36
Os4 0.6160 0.1126 0.2558  1 F 2.14, 3 Cl 2.24-2.36

Values from the calculation:
As for the electronic total energy: -4.344 eV/atom.

***

# 2
A plane-wave DFT calculation with PBE was carried out for an optimized crystal structure of OsClF6.

Lattice parameters (Å, degrees): 9.0451 5.7806 5.7806 61.28 135.01 135.01
Closest atoms and distances in Å follow each position.
Element x y z (fractional)
F1 0.1915 0.3023 0.3023  1 Os 1.87
F2 0.7825 0.6816 0.1342  1 Os 1.88
F3 0.8085 0.6977 0.6977  1 Os 1.87
F4 0.7825 0.1342 0.6816  1 Os 1.88
F5 0.2175 0.8658 0.3184  1 Os 1.88
F6 0.2175 0.3184 0.8658  1 Os 1.88
Os1 0.0000 0.0000 0.0000  6 F 1.87-1.88
Cl1 0.5000 0.0000 0.0000  4 F 2.92

Values from the calculation:
The energy above the most stable polymorph in this dataset comes out at 18 meV/atom. As for the electronic total energy: -4.360 eV/atom.